# GaP

A relaxed GaP crystal (GGA-PBE, the Alexandria database).

a = 3.9325 Å, b = 4.8891 Å, c = 4.8654 Å
α = 90.00°, β = 128.14°, γ = 90.00°
Positions (direct):
Ga  0.3059  0.0000  0.8295
Ga  0.3059  0.5000  0.3295
P  0.5301  0.0000  0.4416
P  0.5301  0.5000  0.9416

For the density of states at the Fermi level, the calculation gives 0.2898 states/eV/atom. The value obtained for the total magnetization is 0.0 Bohr magnetons per cell. Its energy relative to the elements is -0.076 eV per atom. Its polymorph energy (0 for the lowest one) is 334 meV per atom.

# GaP

A relaxed GaP crystal (GGA-PBE, the Alexandria database).

a = 3.8783 Å, b = 3.8783 Å, c = 6.3895 Å
α = 90.00°, β = 90.00°, γ = 120.00°
Positions (direct):
P  0.6667  0.3333  0.1855
P  0.3333  0.6667  0.6855
Ga  0.6667  0.3333  0.8114
Ga  0.3333  0.6667  0.3114

For the density of states at the Fermi level, the calculation gives 0.0000 states/eV/atom. The value obtained for the total magnetization is 0.0 Bohr magnetons per cell. Its energy relative to the elements is -0.401 eV per atom. Its polymorph energy (0 for the lowest one) is 9 meV per atom.

# GaP4

A relaxed GaP4 crystal (GGA-PBE, the Alexandria database).

a = 4.6390 Å, b = 4.6390 Å, c = 4.6390 Å
α = 90.00°, β = 90.00°, γ = 90.00°
Positions (direct):
P  0.0000  0.0000  0.0000
P  0.5000  0.5000  0.0000
P  0.0000  0.5000  0.5000
P  0.5000  0.0000  0.5000
Ga  0.5000  0.5000  0.5000

For the density of states at the Fermi level, the calculation gives 0.7397 states/eV/atom. The value obtained for the total magnetization is 0.0 Bohr magnetons per cell. Its energy relative to the elements is 1.246 eV per atom.

# GaP

A relaxed GaP crystal (GGA-PBE, the Alexandria database).

a = 10.1185 Å, b = 10.1185 Å, c = 3.8937 Å
α = 90.00°, β = 90.00°, γ = 90.00°
Positions (direct):
Ga  0.2920  0.8787  0.5000
Ga  0.7080  0.1213  0.5000
Ga  0.2080  0.6213  0.0000
Ga  0.6213  0.7920  0.0000
Ga  0.7920  0.3787  0.0000
Ga  0.1213  0.2920  0.5000
Ga  0.3787  0.2080  0.0000
Ga  0.8787  0.7080  0.5000
P  0.3887  0.7812  0.0000
P  0.2812  0.1113  0.5000
P  0.6113  0.2188  0.0000
P  0.1113  0.7188  0.5000
P  0.8887  0.2812  0.5000
P  0.7812  0.6113  0.0000
P  0.7188  0.8887  0.5000
P  0.2188  0.3887  0.0000

The value obtained for the total magnetization is 0.0 Bohr magnetons per cell. Its energy relative to the elements is -0.225 eV per atom. Its polymorph energy (0 for the lowest one) is 185 meV per atom.

# GaP

A relaxed GaP crystal (GGA-PBE, the Alexandria database).

a = 3.9247 Å, b = 3.9247 Å, c = 6.6862 Å
α = 90.09°, β = 90.09°, γ = 60.00°
Positions (direct):
P  0.8339  0.8339  0.2525
P  0.1661  0.1661  0.7475
Ga  0.1670  0.1670  0.1503
Ga  0.8330  0.8330  0.8497

For the density of states at the Fermi level, the calculation gives 0.0716 states/eV/atom. The value obtained for the total magnetization is 0.0 Bohr magnetons per cell. Its energy relative to the elements is -0.123 eV per atom. Its polymorph energy (0 for the lowest one) is 287 meV per atom.

# GaP

A relaxed GaP crystal (GGA-PBE, the Alexandria database).

a = 4.0680 Å, b = 4.0676 Å, c = 4.8524 Å
α = 90.00°, β = 89.96°, γ = 90.00°
Positions (direct):
Ga  0.2500  0.7500  0.0000
Ga  0.7500  0.2500  0.0000
P  0.2496  0.2500  0.2939
P  0.7504  0.7500  0.7061

For the density of states at the Fermi level, the calculation gives 0.3063 states/eV/atom. The value obtained for the total magnetization is 0.0 Bohr magnetons per cell. Its energy relative to the elements is 0.032 eV per atom. Its polymorph energy (0 for the lowest one) is 442 meV per atom.

# GaP

A relaxed GaP crystal (GGA-PBE, the Alexandria database).

a = 10.4674 Å, b = 10.6190 Å, c = 7.9137 Å
α = 90.00°, β = 90.00°, γ = 90.00°
Positions (direct):
P  0.0000  0.3276  0.5000
P  0.7500  0.9224  0.7500
P  0.0000  0.6724  0.5000
P  0.7500  0.4224  0.2500
P  0.2500  0.0776  0.7500
P  0.2500  0.4224  0.7500
P  0.7500  0.0776  0.2500
P  0.2500  0.9224  0.2500
P  0.5000  0.1724  0.5000
P  0.0000  0.1724  0.0000
P  0.5000  0.6724  0.0000
P  0.5000  0.8276  0.5000
P  0.2500  0.5776  0.2500
P  0.7500  0.5776  0.7500
P  0.5000  0.3276  0.0000
P  0.0000  0.8276  0.0000
Ga  0.9025  0.7500  0.7500
Ga  0.0975  0.7500  0.2500
Ga  0.3475  0.5000  0.0000
Ga  0.0975  0.2500  0.7500
Ga  0.1525  0.5000  0.5000
Ga  0.4025  0.2500  0.7500
Ga  0.8475  0.5000  0.5000
Ga  0.9025  0.2500  0.2500
Ga  0.5975  0.7500  0.7500
Ga  0.4025  0.7500  0.2500
Ga  0.6525  0.0000  0.5000
Ga  0.6525  0.5000  0.0000
Ga  0.1525  0.0000  0.0000
Ga  0.3475  0.0000  0.5000
Ga  0.8475  0.0000  0.0000
Ga  0.5975  0.2500  0.2500

The value obtained for the total magnetization is 0.0 Bohr magnetons per cell. Its energy relative to the elements is -0.134 eV per atom. Its polymorph energy (0 for the lowest one) is 276 meV per atom.

# GaP

A relaxed GaP crystal (GGA-PBE, the Alexandria database).

a = 7.5338 Å, b = 7.5338 Å, c = 7.5338 Å
α = 90.00°, β = 90.00°, γ = 90.00°
Positions (direct):
P  0.1642  0.1642  0.1642
P  0.6642  0.3358  0.3358
P  0.3358  0.6642  0.3358
P  0.8358  0.1642  0.8358
P  0.1642  0.8358  0.8358
P  0.3358  0.3358  0.6642
P  0.6642  0.6642  0.6642
P  0.8358  0.8358  0.1642
Ga  0.3426  0.6574  0.6574
Ga  0.8426  0.1574  0.1574
Ga  0.8426  0.8426  0.8426
Ga  0.1574  0.1574  0.8426
Ga  0.1574  0.8426  0.1574
Ga  0.3426  0.3426  0.3426
Ga  0.6574  0.6574  0.3426
Ga  0.6574  0.3426  0.6574

The value obtained for the total magnetization is 0.0 Bohr magnetons per cell. Its energy relative to the elements is -0.160 eV per atom. Its polymorph energy (0 for the lowest one) is 250 meV per atom.

# GaP2

A relaxed GaP2 crystal (GGA-PBE, the Alexandria database).

a = 3.9697 Å, b = 5.4132 Å, c = 6.0917 Å
α = 91.11°, β = 101.33°, γ = 108.67°
Positions (direct):
P  0.3092  0.3249  0.2170
P  0.6908  0.6751  0.7830
P  0.5710  0.0291  0.6859
P  0.4290  0.9709  0.3141
Ga  0.7951  0.7151  0.1882
Ga  0.2049  0.2849  0.8118

The value obtained for the total magnetization is 0.0 Bohr magnetons per cell. Its energy relative to the elements is -0.033 eV per atom. Its polymorph energy (0 for the lowest one) is 67 meV per atom.

# GaP

A relaxed GaP crystal (GGA-PBE, the Alexandria database).

a = 6.7788 Å, b = 6.7788 Å, c = 6.7788 Å
α = 90.00°, β = 90.00°, γ = 90.00°
Positions (direct):
P  0.7500  0.5000  0.0000
P  0.0000  0.2500  0.5000
P  0.5000  0.0000  0.7500
P  0.2500  0.5000  0.0000
P  0.0000  0.7500  0.5000
P  0.5000  0.0000  0.2500
Ga  0.2500  0.0000  0.5000
Ga  0.0000  0.5000  0.7500
Ga  0.7500  0.0000  0.5000
Ga  0.5000  0.2500  0.0000
Ga  0.0000  0.5000  0.2500
Ga  0.5000  0.7500  0.0000

The value obtained for the total magnetization is 0.0 Bohr magnetons per cell. Its energy relative to the elements is -0.239 eV per atom. Its polymorph energy (0 for the lowest one) is 171 meV per atom.

# GaP2

A relaxed GaP2 crystal (GGA-PBE, the Alexandria database).

a = 4.6538 Å, b = 5.3166 Å, c = 5.6100 Å
α = 72.93°, β = 81.68°, γ = 76.34°
Positions (direct):
P  0.2935  0.6379  0.9282
P  0.5220  0.9956  0.1992
P  0.7065  0.3621  0.0718
P  0.4780  0.0044  0.8008
Ga  0.0720  0.3857  0.7131
Ga  0.9280  0.6143  0.2869

The value obtained for the total magnetization is 0.0 Bohr magnetons per cell. Its energy relative to the elements is -0.082 eV per atom. Its polymorph energy (0 for the lowest one) is 19 meV per atom.

# GaP

A relaxed GaP crystal (GGA-PBE, the Alexandria database).

a = 9.4746 Å, b = 9.4746 Å, c = 3.9500 Å
α = 90.00°, β = 90.00°, γ = 120.00°
Positions (direct):
P  0.4112  0.3238  0.2500
P  0.6762  0.0874  0.2500
P  0.0874  0.4112  0.7500
P  0.9126  0.5888  0.2500
P  0.3238  0.9126  0.7500
P  0.5888  0.6762  0.7500
Ga  0.6634  0.5871  0.2500
Ga  0.0763  0.6634  0.7500
Ga  0.5871  0.9237  0.7500
Ga  0.4129  0.0763  0.2500
Ga  0.3366  0.4129  0.7500
Ga  0.9237  0.3366  0.2500

The value obtained for the total magnetization is 0.0 Bohr magnetons per cell. Its energy relative to the elements is -0.239 eV per atom. Its polymorph energy (0 for the lowest one) is 171 meV per atom.

# GaP

A relaxed GaP crystal (GGA-PBE, the Alexandria database).

a = 6.8068 Å, b = 6.8068 Å, c = 6.8068 Å
α = 33.13°, β = 33.13°, γ = 33.13°
Positions (direct):
P  0.0575  0.0575  0.0575
P  0.9425  0.9425  0.9425
Ga  0.5645  0.5645  0.5645
Ga  0.4355  0.4355  0.4355

The value obtained for the total magnetization is 0.0 Bohr magnetons per cell. Its energy relative to the elements is -0.277 eV per atom. Its polymorph energy (0 for the lowest one) is 133 meV per atom.

# GaP

A relaxed GaP crystal (GGA-PBE, the Alexandria database).

a = 10.9435 Å, b = 3.8122 Å, c = 6.8132 Å
α = 90.00°, β = 90.00°, γ = 90.00°
Positions (direct):
Ga  0.2883  0.8370  0.8424
Ga  0.2117  0.1630  0.3424
Ga  0.5000  0.5493  0.0827
Ga  0.7117  0.8370  0.8424
Ga  0.7883  0.1630  0.3424
Ga  0.0000  0.4507  0.5827
P  0.2052  0.3395  0.6875
P  0.2948  0.6605  0.1875
P  0.0000  0.9536  0.3594
P  0.7052  0.6605  0.1875
P  0.7948  0.3395  0.6875
P  0.5000  0.0464  0.8594

The value obtained for the total magnetization is 0.0 Bohr magnetons per cell. Its energy relative to the elements is -0.127 eV per atom. Its polymorph energy (0 for the lowest one) is 283 meV per atom.

# GaP

A relaxed GaP crystal (GGA-PBE, the Alexandria database).

a = 7.0632 Å, b = 6.9964 Å, c = 7.9557 Å
α = 90.00°, β = 90.00°, γ = 90.00°
Positions (direct):
P  0.8558  0.9388  0.7189
P  0.1553  0.9122  0.0371
P  0.3558  0.5612  0.2811
P  0.6553  0.5878  0.9629
P  0.3447  0.0878  0.5371
P  0.6442  0.0612  0.2189
P  0.8447  0.4122  0.4629
P  0.1442  0.4388  0.7811
Ga  0.3519  0.9082  0.2835
Ga  0.3119  0.6143  0.9830
Ga  0.1881  0.3857  0.4830
Ga  0.6881  0.1143  0.5170
Ga  0.6481  0.4082  0.2165
Ga  0.8519  0.5918  0.7165
Ga  0.1481  0.0918  0.7835
Ga  0.8119  0.8857  0.0170

The value obtained for the total magnetization is 0.0 Bohr magnetons per cell. Its energy relative to the elements is -0.179 eV per atom. Its polymorph energy (0 for the lowest one) is 230 meV per atom.

# GaP

A relaxed GaP crystal (GGA-PBE, the Alexandria database).

a = 5.1580 Å, b = 5.1580 Å, c = 5.1580 Å
α = 90.00°, β = 90.00°, γ = 90.00°
Positions (direct):
Ga  0.0000  0.0000  0.5000
Ga  0.0000  0.5000  0.0000
Ga  0.5000  0.5000  0.5000
Ga  0.5000  0.0000  0.0000
P  0.5000  0.0000  0.5000
P  0.0000  0.5000  0.5000
P  0.5000  0.5000  0.0000
P  0.0000  0.0000  0.0000

For the density of states at the Fermi level, the calculation gives 0.4383 states/eV/atom. The value obtained for the total magnetization is 0.0 Bohr magnetons per cell. Its energy relative to the elements is -0.015 eV per atom. Its polymorph energy (0 for the lowest one) is 395 meV per atom.

# GaP2

A relaxed GaP2 crystal (GGA-PBE, the Alexandria database).

a = 4.4877 Å, b = 6.7303 Å, c = 8.5758 Å
α = 90.00°, β = 109.44°, γ = 90.00°
Positions (direct):
P  0.3674  0.5000  0.6725
P  0.2623  0.0000  0.4052
P  0.7377  0.5000  0.0948
P  0.7377  0.0000  0.5948
P  0.6326  0.5000  0.3275
P  0.3674  0.0000  0.1725
P  0.6326  0.0000  0.8275
P  0.2623  0.5000  0.9052
Ga  0.0000  0.7320  0.5000
Ga  0.0000  0.2320  0.0000
Ga  0.0000  0.7680  0.0000
Ga  0.0000  0.2680  0.5000

For the density of states at the Fermi level, the calculation gives 0.0031 states/eV/atom. The value obtained for the total magnetization is 0.0 Bohr magnetons per cell. Its energy relative to the elements is -0.097 eV per atom. Its polymorph energy (0 for the lowest one) is 3 meV per atom.

# GaP

A relaxed GaP crystal (GGA-PBE, the Alexandria database).

a = 6.7411 Å, b = 6.7411 Å, c = 6.7411 Å
α = 90.00°, β = 90.00°, γ = 90.00°
Positions (direct):
P  0.3591  0.6409  0.1409
P  0.1409  0.3591  0.6409
P  0.3591  0.8591  0.6409
P  0.8591  0.6409  0.3591
P  0.6409  0.1409  0.3591
P  0.6409  0.3591  0.8591
P  0.8591  0.8591  0.8591
P  0.1409  0.1409  0.1409
Ga  0.8413  0.1587  0.6587
Ga  0.3413  0.1587  0.8413
Ga  0.6587  0.8413  0.1587
Ga  0.1587  0.8413  0.3413
Ga  0.8413  0.3413  0.1587
Ga  0.1587  0.6587  0.8413
Ga  0.6587  0.6587  0.6587
Ga  0.3413  0.3413  0.3413

For the density of states at the Fermi level, the calculation gives 0.0211 states/eV/atom. The value obtained for the total magnetization is 0.0 Bohr magnetons per cell. Its energy relative to the elements is -0.239 eV per atom. Its polymorph energy (0 for the lowest one) is 171 meV per atom.

# GaP2

A relaxed GaP2 crystal (GGA-PBE, the Alexandria database).

a = 5.4560 Å, b = 5.2852 Å, c = 9.7038 Å
α = 90.00°, β = 103.13°, γ = 90.00°
Positions (direct):
Ga  0.7710  0.3989  0.2630
Ga  0.2290  0.8989  0.2370
Ga  0.7710  0.8989  0.7630
Ga  0.2290  0.3989  0.7370
P  0.5663  0.5335  0.6211
P  0.1636  0.7301  0.8857
P  0.4337  0.0335  0.8789
P  0.4337  0.5335  0.3789
P  0.1636  0.2301  0.3857
P  0.5663  0.0335  0.1211
P  0.8364  0.2301  0.6143
P  0.8364  0.7301  0.1143

The value obtained for the total magnetization is 0.0 Bohr magnetons per cell. Its energy relative to the elements is -0.072 eV per atom. Its polymorph energy (0 for the lowest one) is 28 meV per atom.

# GaP

A relaxed GaP crystal (GGA-PBE, the Alexandria database).

a = 3.8892 Å, b = 3.8892 Å, c = 3.8892 Å
α = 60.00°, β = 60.00°, γ = 60.00°
Positions (direct):
Ga  0.0000  0.0000  0.0000
P  0.7500  0.7500  0.7500

For the density of states at the Fermi level, the calculation gives 0.0000 states/eV/atom. The value obtained for the total magnetization is 0.0 Bohr magnetons per cell. Its energy relative to the elements is -0.410 eV per atom. Its polymorph energy (0 for the lowest one) is 0 meV per atom.